1.
The following is a GGA-PBE calculation of a geometry-optimized Ag2MoOs structure, from the Alexandria database.

abc: 9.9122 9.9122 9.9122
angles: 16.02 16.02 16.02
Atoms (fractional coordinates):
Ag1 0.2495 0.2495 0.2495
Ag2 0.7505 0.7505 0.7505
Mo1 0.0000 0.0000 0.0000
Os1 0.5000 0.5000 0.5000

## Properties
Energy   -6.319 eV per atom
Polymorph energy (0 for the lowest one)   379 meV per atom
Total magnetic moment   0.49 μB per cell
ΔE_f   622 meV/atom

2.
The following is a GGA-PBE calculation of a geometry-optimized MgBrCl structure, from the Alexandria database.

abc: 3.7790 6.5312 7.8262
angles: 112.10 103.91 90.02
Atoms (fractional coordinates):
Mg1 0.2502 0.2441 0.0001
Mg2 0.7498 0.7559 0.9999
Br1 0.3596 0.6814 0.2202
Br2 0.6404 0.3186 0.7798
Cl1 0.1547 0.8293 0.8087
Cl2 0.8453 0.1707 0.1913

## Properties
Energy   -3.374 eV per atom
Polymorph energy (0 for the lowest one)   0 meV per atom
Total magnetic moment   0.00 μB per cell

3.
The following is a GGA-PBE calculation of a geometry-optimized NbTe3Cl structure, from the Alexandria database.

abc: 5.2747 5.2747 5.2747
angles: 90.00 90.00 90.00
Atoms (fractional coordinates):
Nb1 0.0000 0.0000 0.0000
Te1 0.0000 0.5000 0.5000
Te2 0.5000 0.0000 0.5000
Te3 0.5000 0.5000 0.0000
Cl1 0.5000 0.5000 0.5000

## Properties
Energy   -3.204 eV per atom
Polymorph energy (0 for the lowest one)   1034 meV per atom
Total magnetic moment   2.38 μB per cell

4.
The following is a GGA-PBE calculation of a geometry-optimized PaTi2Tl3S6 structure, from the Alexandria database.

abc: 6.3005 6.3005 8.1977
angles: 90.00 90.00 120.00
Atoms (fractional coordinates):
Pa1 0.0000 0.0000 0.0000
Ti1 0.3333 0.6667 0.0000
Ti2 0.6667 0.3333 0.0000
Tl1 0.0000 0.0000 0.5000
Tl2 0.3333 0.6667 0.5000
Tl3 0.6667 0.3333 0.5000
S1 0.0000 0.3525 0.1778
S2 0.0000 0.6475 0.8222
S3 0.3525 0.0000 0.1778
S4 0.3525 0.3525 0.8222
S5 0.6475 0.0000 0.8222
S6 0.6475 0.6475 0.1778

## Properties
Energy   -5.853 eV per atom
Total magnetic moment   2.01 μB per cell

5.
The following is a GGA-PBE calculation of a geometry-optimized NdSm5Y8 structure, from the Alexandria database.

abc: 8.5153 8.5153 8.5153
angles: 111.29 111.29 105.89
Atoms (fractional coordinates):
Nd1 0.0000 0.0000 0.0000
Sm1 0.0379 0.4356 0.8229
Sm2 0.2500 0.7500 0.5000
Sm3 0.5644 0.3873 0.6022
Sm4 0.6127 0.2149 0.1771
Sm5 0.7851 0.9621 0.3978
Y1 0.0871 0.3278 0.4081
Y2 0.2776 0.1722 0.7505
Y3 0.3210 0.9129 0.2407
Y4 0.4217 0.5271 0.2495
Y5 0.4729 0.7224 0.8946
Y6 0.6722 0.0804 0.7593
Y7 0.8278 0.5783 0.1054
Y8 0.9196 0.6790 0.5919

## Properties
Energy   -5.487 eV per atom
Total magnetic moment   0.14 μB per cell
ΔE_f   233 meV/atom

6.
The following is a GGA-PBE calculation of a geometry-optimized Ta3BiB structure, from the Alexandria database.

abc: 5.1319 5.1319 5.1319
angles: 90.00 90.00 90.00
Atoms (fractional coordinates):
Ta1 0.0000 0.0000 0.5000
Ta2 0.0000 0.5000 0.0000
Ta3 0.5000 0.0000 0.0000
Bi1 0.0000 0.0000 0.0000
B1 0.5000 0.5000 0.5000

## Properties
Energy   -5.939 eV per atom
Polymorph energy (0 for the lowest one)   2981 meV per atom
Total magnetic moment   0.00 μB per cell
ΔE_f   3284 meV/atom

no.,calculated density (Mg/m³)
1,12.90
2,2.68
3,5.78
4,6.67
5,5.63
6,9.37